VASP calculation (PBE) on a geometry-optimized Ba2MgRu structure.

Cell: 8.472 8.472 8.472 Å, 95.37 95.37 144.36°
Positions (direct):
Ba: 0.375 0.194 0.319
Ba: 0.806 0.125 0.181
Ba: 0.875 0.056 0.681
Ba: 0.944 0.625 0.819
Mg: 0.250 0.750 0.500
Mg: 0.500 0.500 0.000
Ru: 0.000 0.000 0.000
Ru: 0.750 0.250 0.500

Calculated values
As for the energy of formation: 0.3044 eV/atom. As for the symmetry: I-42d, No. 122.

VASP calculation (PBE) on a geometry-optimized Ba2MgRu structure.

Cell: 3.777 3.777 9.315 Å, 90.00 90.00 90.00°
Positions (direct):
Ba: 0.000 0.000 0.000
Ba: 0.500 0.500 0.424
Mg: 0.000 0.000 0.670
Ru: 0.500 0.500 0.750

Calculated values
As for the energy of formation: 0.2633 eV/atom. As for the symmetry: P4mm, No. 99.

VASP calculation (PBE) on a geometry-optimized BaMg2Ru structure.

Cell: 3.602 3.602 7.883 Å, 90.00 90.00 90.00°
Positions (direct):
Ba: 0.000 0.000 0.000
Mg: 0.000 0.000 0.598
Mg: 0.500 0.500 0.379
Ru: 0.500 0.500 0.719

Calculated values
As for the energy of formation: 0.1901 eV/atom. As for the symmetry: P4mm, No. 99.

VASP calculation (PBE) on a geometry-optimized BaMgRu2 structure.

Cell: 4.663 4.663 6.496 Å, 112.28 112.28 56.62°
Positions (direct):
Ba: 0.000 0.000 0.000
Mg: 0.500 0.500 0.500
Ru: 0.192 0.192 0.527
Ru: 0.808 0.808 0.473

Calculated values
As for the energy of formation: 0.2546 eV/atom. As for the symmetry: C2/m, No. 12.

VASP calculation (PBE) on a geometry-optimized BaMg2Ru structure.

Cell: 3.991 4.460 6.770 Å, 90.00 106.96 90.00°
Positions (direct):
Ba: 0.000 0.000 0.000
Mg: 0.284 0.000 0.563
Mg: 0.751 0.500 0.496
Ru: 0.386 0.500 0.769

Calculated values
As for the energy of formation: 0.2551 eV/atom. As for the symmetry: Pm, No. 6.

VASP calculation (PBE) on a geometry-optimized Ba2MgRu structure.

Cell: 4.651 4.651 8.753 Å, 105.06 105.06 59.75°
Positions (direct):
Ba: 0.000 0.000 0.000
Ba: 0.164 0.164 0.506
Mg: 0.414 0.414 0.253
Ru: 0.747 0.747 0.253

Calculated values
As for the energy of formation: 0.1555 eV/atom. As for the symmetry: Cm, No. 8.

VASP calculation (PBE) on a geometry-optimized Ba2MgRu structure.

Cell: 6.928 6.928 6.928 Å, 148.42 131.04 59.44°
Positions (direct):
Ba: 0.000 0.000 0.000
Ba: 0.689 0.189 0.500
Mg: 0.322 0.822 0.500
Ru: 0.479 0.479 0.000

Calculated values
As for the energy of formation: 0.3006 eV/atom. As for the symmetry: Imm2, No. 44.

VASP calculation (PBE) on a geometry-optimized BaMgRu2 structure.

Cell: 6.218 6.218 6.218 Å, 151.36 130.11 58.54°
Positions (direct):
Ba: 0.000 0.000 0.000
Mg: 0.697 0.197 0.500
Ru: 0.271 0.771 0.500
Ru: 0.454 0.454 0.000

Calculated values
As for the energy of formation: 0.6118 eV/atom. As for the symmetry: Imm2, No. 44.

VASP calculation (PBE) on a geometry-optimized BaMg2Ru structure.

Cell: 5.489 5.489 5.717 Å, 108.20 108.20 40.18°
Positions (direct):
Ba: 0.000 0.000 0.000
Mg: 0.195 0.195 0.638
Mg: 0.805 0.805 0.362
Ru: 0.500 0.500 0.500

Calculated values
As for the energy of formation: 0.2510 eV/atom. As for the symmetry: C2/m, No. 12.

VASP calculation (PBE) on a geometry-optimized BaMgRu2 structure.

Cell: 3.052 3.052 9.181 Å, 90.00 90.00 113.22°
Positions (direct):
Ba: 0.000 0.000 0.000
Mg: 0.000 0.000 0.500
Ru: 0.500 0.500 0.274
Ru: 0.500 0.500 0.726

Calculated values
As for the energy of formation: 0.8028 eV/atom. As for the symmetry: Cmmm, No. 65.

VASP calculation (PBE) on a geometry-optimized BaMg2Ru structure.

Cell: 7.904 7.904 7.904 Å, 155.21 147.75 41.09°
Positions (direct):
Ba: 0.000 0.000 0.000
Mg: 0.315 0.815 0.500
Mg: 0.681 0.681 0.000
Ru: 0.823 0.323 0.500

Calculated values
As for the energy of formation: 0.2229 eV/atom. As for the symmetry: Imm2, No. 44.

VASP calculation (PBE) on a geometry-optimized Ba2MgRu structure.

Cell: 3.756 3.805 9.188 Å, 90.00 90.00 90.00°
Positions (direct):
Ba: 0.000 0.000 0.201
Ba: 0.000 0.000 0.799
Mg: 0.500 0.500 0.500
Ru: 0.500 0.500 0.000

Calculated values
As for the energy of formation: 0.3671 eV/atom. As for the symmetry: Pmmm, No. 47.

VASP calculation (PBE) on a geometry-optimized Ba2MgRu structure.

Cell: 5.627 5.627 5.627 Å, 60.00 60.00 60.00°
Positions (direct):
Ba: 0.250 0.250 0.250
Ba: 0.750 0.750 0.750
Mg: 0.000 0.000 0.000
Ru: 0.500 0.500 0.500

Calculated values
As for the energy of formation: 0.4483 eV/atom. As for the symmetry: Fm-3m, No. 225.

VASP calculation (PBE) on a geometry-optimized BaMg3Ru structure.

Cell: 5.164 5.164 5.164 Å, 90.00 90.00 90.00°
Positions (direct):
Ba: 0.000 0.000 0.000
Mg: 0.000 0.500 0.500
Mg: 0.500 0.000 0.500
Mg: 0.500 0.500 0.000
Ru: 0.500 0.500 0.500

Calculated values
As for the energy of formation: -0.0013 eV/atom. As for the symmetry: Pm-3m, No. 221.

VASP calculation (PBE) on a geometry-optimized BaMg2ScRu structure.

Cell: 5.322 5.322 4.893 Å, 90.00 90.00 90.00°
Positions (direct):
Ba: 0.000 0.000 0.000
Mg: 0.000 0.500 0.500
Mg: 0.500 0.000 0.500
Sc: 0.500 0.500 0.000
Ru: 0.500 0.500 0.500

Calculated values
As for the energy of formation: -0.0965 eV/atom. As for the symmetry: P4/mmm, No. 123.

VASP calculation (PBE) on a geometry-optimized BaMgRu2Se structure.

Cell: 4.771 4.771 5.027 Å, 90.00 90.00 90.00°
Positions (direct):
Ba: 0.000 0.000 0.000
Mg: 0.500 0.500 0.000
Ru: 0.000 0.500 0.500
Ru: 0.500 0.000 0.500
Se: 0.500 0.500 0.500

Calculated values
The uncorrected formation energy comes out at 0.38 eV per atom. As for the symmetry: P4/mmm, No. 123.

VASP calculation (PBE) on a geometry-optimized BaMgRu2Se structure.

Cell: 4.755 4.755 6.372 Å, 90.00 90.00 90.00°
Positions (direct):
Ba: 0.000 0.000 0.000
Mg: 0.000 0.000 0.500
Ru: 0.000 0.500 0.500
Ru: 0.500 0.000 0.500
Se: 0.500 0.500 0.000

Calculated values
The uncorrected formation energy comes out at 1.02 eV per atom. As for the symmetry: P4/mmm, No. 123.

VASP calculation (PBE) on a geometry-optimized BaMg2SiRu structure.

Cell: 5.106 5.106 4.686 Å, 90.00 90.00 90.00°
Positions (direct):
Ba: 0.000 0.000 0.000
Mg: 0.000 0.500 0.500
Mg: 0.500 0.000 0.500
Si: 0.500 0.500 0.000
Ru: 0.500 0.500 0.500

Calculated values
The uncorrected formation energy comes out at -0.26 eV per atom. As for the symmetry: P4/mmm, No. 123.

VASP calculation (PBE) on a geometry-optimized BaMg2SiRu structure.

Cell: 4.942 4.942 6.283 Å, 90.00 90.00 90.00°
Positions (direct):
Ba: 0.000 0.000 0.000
Mg: 0.000 0.500 0.500
Mg: 0.500 0.000 0.500
Si: 0.000 0.000 0.500
Ru: 0.500 0.500 0.000

Calculated values
The uncorrected formation energy comes out at 0.79 eV per atom. As for the symmetry: P4/mmm, No. 123.

VASP calculation (PBE) on a geometry-optimized BaYMg2Ru structure.

Cell: 5.358 5.358 5.166 Å, 90.00 90.00 90.00°
Positions (direct):
Ba: 0.000 0.000 0.000
Y: 0.500 0.500 0.000
Mg: 0.000 0.500 0.500
Mg: 0.500 0.000 0.500
Ru: 0.500 0.500 0.500

Calculated values
As for the energy of formation: -0.0534 eV/atom. As for the symmetry: P4/mmm, No. 123.

VASP calculation (PBE) on a geometry-optimized BaMg2ZnRu structure.

Cell: 5.088 5.088 5.043 Å, 90.00 90.00 90.00°
Positions (direct):
Ba: 0.000 0.000 0.000
Mg: 0.000 0.500 0.500
Mg: 0.500 0.000 0.500
Zn: 0.500 0.500 0.000
Ru: 0.500 0.500 0.500

Calculated values
As for the energy of formation: -0.0347 eV/atom. As for the symmetry: P4/mmm, No. 123.

VASP calculation (PBE) on a geometry-optimized Ba2MgZrRu structure.

Cell: 6.187 6.187 4.698 Å, 90.00 90.00 90.00°
Positions (direct):
Ba: 0.000 0.500 0.000
Ba: 0.500 0.000 0.000
Mg: 0.000 0.000 0.000
Zr: 0.500 0.500 0.500
Ru: 0.000 0.000 0.500

Calculated values
As for the energy of formation: 1.2266 eV/atom. As for the symmetry: P4/mmm, No. 123.

VASP calculation (PBE) on a geometry-optimized Ba2MgS structure.

Cell: 7.787 7.787 7.787 Å, 110.48 110.48 107.48°
Positions (direct):
Ba: 0.065 0.625 0.940
Ba: 0.375 0.315 0.440
Ba: 0.685 0.125 0.060
Ba: 0.875 0.935 0.560
Mg: 0.250 0.750 0.500
Mg: 0.500 0.500 0.000
S: 0.000 0.000 0.000
S: 0.750 0.250 0.500

Calculated values
The uncorrected formation energy comes out at -0.74 eV per atom. As for the symmetry: I-42d, No. 122.

VASP calculation (PBE) on a geometry-optimized BaMgS2 structure.

Cell: 6.637 6.637 6.637 Å, 113.98 113.98 100.79°
Positions (direct):
Ba: 0.000 0.000 0.000
Ba: 0.750 0.250 0.500
Mg: 0.250 0.750 0.500
Mg: 0.500 0.500 0.000
S: 0.195 0.625 0.070
S: 0.375 0.445 0.570
S: 0.555 0.125 0.930
S: 0.875 0.805 0.430

Calculated values
The uncorrected formation energy comes out at -1.63 eV per atom. As for the symmetry: I-42d, No. 122.

VASP calculation (PBE) on a geometry-optimized BaMg2S3 structure.

Cell: 7.332 7.332 7.332 Å, 147.31 138.11 54.12°
Positions (direct):
Ba: 0.000 0.000 0.000
Mg: 0.310 0.310 0.000
Mg: 0.690 0.690 0.000
S: 0.200 0.700 0.500
S: 0.500 0.500 0.000
S: 0.800 0.300 0.500

Calculated values
The uncorrected formation energy comes out at -1.63 eV per atom. As for the symmetry: Immm, No. 71.

VASP calculation (PBE) on a geometry-optimized BaMgS2 structure.

Cell: 7.627 8.053 7.028 Å, 90.00 104.41 90.00°
Positions (direct):
Ba: 0.181 0.077 0.308
Ba: 0.181 0.423 0.808
Ba: 0.819 0.577 0.192
Ba: 0.819 0.923 0.692
Mg: 0.362 0.666 0.355
Mg: 0.362 0.834 0.855
Mg: 0.638 0.166 0.145
Mg: 0.638 0.334 0.645
S: 0.124 0.745 0.529
S: 0.124 0.755 0.029
S: 0.435 0.120 0.760
S: 0.435 0.380 0.260
S: 0.565 0.620 0.740
S: 0.565 0.880 0.240
S: 0.876 0.245 0.971
S: 0.876 0.255 0.471

Calculated values
The uncorrected formation energy comes out at -1.71 eV per atom. As for the symmetry: P2_1/c, No. 14.

VASP calculation (PBE) on a geometry-optimized Ba2MgS structure.

Cell: 11.486 11.486 11.486 Å, 21.63 21.63 21.63°
Positions (direct):
Ba: 0.112 0.112 0.112
Ba: 0.888 0.888 0.888
Mg: 0.000 0.000 0.000
S: 0.500 0.500 0.500

Calculated values
The uncorrected formation energy comes out at -0.70 eV per atom. As for the symmetry: R-3m, No. 166.

VASP calculation (PBE) on a geometry-optimized Ba2MgS structure.

Cell: 5.818 5.818 5.818 Å, 60.00 60.00 60.00°
Positions (direct):
Ba: 0.250 0.250 0.250
Ba: 0.750 0.750 0.750
Mg: 0.000 0.000 0.000
S: 0.500 0.500 0.500

Calculated values
The uncorrected formation energy comes out at -0.52 eV per atom. As for the symmetry: Fm-3m, No. 225.